Crystalline Sr2NiRhO5 at its relaxed geometry. Source: Alexandria via LeMat-Bulk, functional PBE with a Hubbard U.

Cell: 7.1191 7.1191 10.4773 Å, 90.00 90.00 152.71°
Fractional coordinates of all 18 atoms:
1 Sr 0.1003 0.8997 0.5000
2 Sr 0.1350 0.8650 0.1303
3 Sr 0.8650 0.1350 0.6303
4 Sr 0.8997 0.1003 0.0000
5 Ni 0.4527 0.5473 0.2769
6 Ni 0.5473 0.4527 0.7769
7 Rh 0.2149 0.7851 0.8492
8 Rh 0.7851 0.2149 0.3492
9 O 0.0656 0.9344 0.8663
10 O 0.2783 0.7217 0.4693
11 O 0.3057 0.6943 0.2290
12 O 0.3605 0.6395 0.8239
13 O 0.4982 0.5018 0.6074
14 O 0.5018 0.4982 0.1074
15 O 0.6395 0.3605 0.3239
16 O 0.6943 0.3057 0.7290
17 O 0.7217 0.2783 0.9693
18 O 0.9344 0.0656 0.3663

Summary:
E_tot (eV/atom): -5.9086
Volume (Å³ per cell): 243
Total magnetization (μB per formula unit): 2.94